*1*
A plane-wave DFT calculation with PBE was carried out for crystalline Hf2TiTc at its relaxed geometry.

Properties
Total magnetization in μB per formula unit: 0.00
Symmetry: Amm2

Cell lengths 3.251, 7.839, 7.839 Å; angles 23.46, 90.00, 90.00 degrees
Positions (direct):
Hf: 0.000 0.000 0.000
Hf: 0.000 0.208 0.208
Ti: 0.500 0.830 0.830
Tc: 0.500 0.599 0.599

***

*2*
A plane-wave DFT calculation with PBE was carried out for crystalline Hf2TiTc at its relaxed geometry.

Properties
Total magnetization in μB per formula unit: 0.00
Symmetry: P4/mmm

Cell lengths 3.266, 3.266, 7.003 Å; angles 90.00, 90.00, 90.00 degrees
Positions (direct):
Hf: 0.000 0.000 0.226
Hf: 0.000 0.000 0.774
Ti: 0.500 0.500 0.500
Tc: 0.500 0.500 0.000

***

*3*
A plane-wave DFT calculation with PBE was carried out for crystalline Hf2TiTc at its relaxed geometry.

Properties
Total magnetization in μB per formula unit: 0.51
Symmetry: I-42d

Cell lengths 5.974, 5.974, 5.974 Å; angles 103.67, 103.67, 121.82 degrees
Positions (direct):
Hf: 0.096 0.625 0.971
Hf: 0.375 0.346 0.471
Hf: 0.654 0.125 0.029
Hf: 0.875 0.904 0.529
Ti: 0.250 0.750 0.500
Ti: 0.500 0.500 0.000
Tc: 0.000 0.000 0.000
Tc: 0.750 0.250 0.500

***

Name the most stable of them. *2*.

***

*1*
A plane-wave DFT calculation with PBE was carried out for crystalline Hf2TiTc at its relaxed geometry.

Properties
Total magnetization in μB per formula unit: 0.02
Symmetry: P4/mmm

Cell lengths 4.697, 4.697, 3.315 Å; angles 90.00, 90.00, 90.00 degrees
Positions (direct):
Hf: 0.000 0.500 0.000
Hf: 0.500 0.000 0.000
Ti: 0.000 0.000 0.500
Tc: 0.500 0.500 0.500

***

*2*
A plane-wave DFT calculation with PBE was carried out for crystalline Hf2TiTc at its relaxed geometry.

Properties
Total magnetization in μB per formula unit: 0.00
Symmetry: C2/c

Cell lengths 5.783, 5.783, 5.923 Å; angles 103.87, 103.87, 55.73 degrees
Positions (direct):
Hf: 0.203 0.219 0.103
Hf: 0.219 0.203 0.603
Hf: 0.781 0.797 0.397
Hf: 0.797 0.781 0.897
Ti: 0.347 0.653 0.750
Ti: 0.653 0.347 0.250
Tc: 0.138 0.862 0.250
Tc: 0.862 0.138 0.750

***

Name the most stable of them. *1*.

***

*1*
A plane-wave DFT calculation with PBE was carried out for crystalline HfTlTc3 at its relaxed geometry.

Properties
Total magnetization in μB per formula unit: 2.62
Symmetry: Pm-3m

Cell lengths 4.870, 4.870, 4.870 Å; angles 90.00, 90.00, 90.00 degrees
Positions (direct):
Hf: 0.000 0.000 0.000
Tl: 0.500 0.500 0.500
Tc: 0.000 0.500 0.500
Tc: 0.500 0.000 0.500
Tc: 0.500 0.500 0.000

***

*2*
A plane-wave DFT calculation with PBE was carried out for crystalline HfTlTc3 at its relaxed geometry.

Properties
Total magnetization in μB per formula unit: 3.95
Symmetry: Pm-3m

Cell lengths 4.828, 4.828, 4.828 Å; angles 90.00, 90.00, 90.00 degrees
Positions (direct):
Hf: 0.000 0.000 0.000
Tl: 0.500 0.500 0.500
Tc: 0.000 0.000 0.500
Tc: 0.000 0.500 0.000
Tc: 0.500 0.000 0.000

***

Name the most stable of them. *2*.

***

*1*
A plane-wave DFT calculation with PBE was carried out for crystalline Hf6Tl2Tc at its relaxed geometry.

Properties
Total magnetization in μB per formula unit: 0.00
Symmetry: Immm

Cell lengths 8.132, 8.132, 8.132 Å; angles 145.66, 132.48, 59.93 degrees
Positions (direct):
Hf: 0.096 0.352 0.744
Hf: 0.235 0.000 0.235
Hf: 0.392 0.648 0.744
Hf: 0.608 0.352 0.256
Hf: 0.765 0.000 0.765
Hf: 0.904 0.648 0.256
Tl: 0.323 0.823 0.500
Tl: 0.677 0.177 0.500
Tc: 0.000 0.500 0.500

***

*2*
A plane-wave DFT calculation with PBE was carried out for crystalline Hf6Tl2Tc at its relaxed geometry.

Properties
Total magnetization in μB per formula unit: 0.00
Symmetry: Amm2

Cell lengths 3.400, 8.164, 8.164 Å; angles 119.75, 90.00, 90.00 degrees
Positions (direct):
Hf: 0.000 0.000 0.000
Hf: 0.000 0.489 0.739
Hf: 0.000 0.739 0.489
Hf: 0.500 0.112 0.745
Hf: 0.500 0.367 0.367
Hf: 0.500 0.745 0.112
Tl: 0.000 0.075 0.412
Tl: 0.000 0.412 0.075
Tc: 0.500 0.747 0.747

***

Name the most stable of them. *2*.

***

*1*
A plane-wave DFT calculation with PBE was carried out for crystalline TmHfTc at its relaxed geometry.

Properties
Total magnetization in μB per formula unit: 0.00
Symmetry: I4mm

Cell lengths 6.185, 6.185, 6.185 Å; angles 148.36, 148.36, 45.35 degrees
Positions (direct):
Tm: 0.000 0.000 0.000
Hf: 0.275 0.275 0.000
Tc: 0.658 0.658 0.000

***

*2*
A plane-wave DFT calculation with PBE was carried out for crystalline TmHfTc at its relaxed geometry.

Properties
Total magnetization in μB per formula unit: 0.00
Symmetry: Pnma

Cell lengths 9.342, 4.551, 6.570 Å; angles 90.00, 90.00, 90.00 degrees
Positions (direct):
Tm: 0.127 0.250 0.015
Tm: 0.373 0.750 0.515
Tm: 0.627 0.250 0.485
Tm: 0.873 0.750 0.985
Hf: 0.119 0.250 0.516
Hf: 0.381 0.750 0.016
Hf: 0.619 0.250 0.984
Hf: 0.881 0.750 0.484
Tc: 0.125 0.750 0.276
Tc: 0.375 0.250 0.776
Tc: 0.625 0.750 0.224
Tc: 0.875 0.250 0.724

***

Name the most stable of them. *1*.

***

*1*
A plane-wave DFT calculation with PBE was carried out for crystalline HfUTc at its relaxed geometry.

Properties
Total magnetization in μB per formula unit: 0.00
Symmetry: I4/mmm

Cell lengths 11.428, 11.428, 11.428 Å; angles 162.72, 162.72, 24.53 degrees
Positions (direct):
Hf: 0.071 0.071 0.000
Hf: 0.929 0.929 0.000
U: 0.343 0.343 0.000
U: 0.657 0.657 0.000
Tc: 0.202 0.202 0.000
Tc: 0.798 0.798 0.000

***

*2*
A plane-wave DFT calculation with PBE was carried out for crystalline HfUTc at its relaxed geometry.

Properties
Total magnetization in μB per formula unit: 0.83
Symmetry: P3m1

Cell lengths 4.681, 4.681, 2.974 Å; angles 90.00, 90.00, 120.00 degrees
Positions (direct):
Hf: 0.000 0.000 0.000
U: 0.667 0.333 0.636
Tc: 0.333 0.667 0.371

***

*3*
A plane-wave DFT calculation with PBE was carried out for crystalline HfUTc at its relaxed geometry.

Properties
Total magnetization in μB per formula unit: 0.50
Symmetry: I4mm

Cell lengths 5.611, 5.611, 5.611 Å; angles 144.63, 144.63, 50.88 degrees
Positions (direct):
Hf: 0.000 0.000 0.000
U: 0.693 0.693 0.000
Tc: 0.317 0.317 0.000

***

Name the most stable of them. *3*.

***

*1*
A plane-wave DFT calculation with PBE was carried out for crystalline HfUTc4 at its relaxed geometry.

Properties
Total magnetization in μB per formula unit: 0.00
Symmetry: C2/m

Cell lengths 4.769, 4.769, 5.827 Å; angles 96.55, 96.55, 125.90 degrees
Positions (direct):
Hf: 0.000 0.000 0.000
U: 0.000 0.000 0.500
Tc: 0.287 0.614 0.745
Tc: 0.386 0.713 0.255
Tc: 0.614 0.287 0.745
Tc: 0.713 0.386 0.255

***

*2*
A plane-wave DFT calculation with PBE was carried out for crystalline HfUTc4 at its relaxed geometry.

Properties
Total magnetization in μB per formula unit: 1.09
Symmetry: F-43m

Cell lengths 5.305, 5.305, 5.305 Å; angles 60.00, 60.00, 60.00 degrees
Positions (direct):
Hf: 0.000 0.000 0.000
U: 0.250 0.250 0.250
Tc: 0.123 0.626 0.626
Tc: 0.626 0.123 0.626
Tc: 0.626 0.626 0.123
Tc: 0.626 0.626 0.626

***

Name the most stable of them. *2*.

***

*1*
A plane-wave DFT calculation with PBE was carried out for crystalline HfV2Tc at its relaxed geometry.

Properties
Total magnetization in μB per formula unit: 0.00
Symmetry: Fm-3m

Cell lengths 4.433, 4.433, 4.433 Å; angles 60.00, 60.00, 60.00 degrees
Positions (direct):
Hf: 0.000 0.000 0.000
V: 0.250 0.250 0.250
V: 0.750 0.750 0.750
Tc: 0.500 0.500 0.500

***

*2*
A plane-wave DFT calculation with PBE was carried out for crystalline HfV2Tc at its relaxed geometry.

Properties
Total magnetization in μB per formula unit: 0.00
Symmetry: Cmcm

Cell lengths 9.532, 9.532, 4.503 Å; angles 90.00, 90.00, 161.37 degrees
Positions (direct):
Hf: 0.119 0.881 0.750
Hf: 0.881 0.119 0.250
V: 0.248 0.752 0.250
V: 0.483 0.517 0.750
V: 0.517 0.483 0.250
V: 0.752 0.248 0.750
Tc: 0.354 0.646 0.750
Tc: 0.646 0.354 0.250

***

Name the most stable of them. *1*.

***

*1*
A plane-wave DFT calculation with PBE was carried out for crystalline HfV2Tc at its relaxed geometry.

Properties
Total magnetization in μB per formula unit: 0.00
Symmetry: I-42d

Cell lengths 5.681, 5.681, 5.681 Å; angles 103.17, 103.17, 122.97 degrees
Positions (direct):
Hf: 0.000 0.000 0.000
Hf: 0.750 0.250 0.500
V: 0.163 0.625 0.038
V: 0.375 0.413 0.538
V: 0.587 0.125 0.962
V: 0.875 0.837 0.462
Tc: 0.250 0.750 0.500
Tc: 0.500 0.500 0.000

***

*2*
A plane-wave DFT calculation with PBE was carried out for crystalline HfV2Tc at its relaxed geometry.

Properties
Total magnetization in μB per formula unit: 0.00
Symmetry: R-3m

Cell lengths 8.722, 8.722, 8.722 Å; angles 19.50, 19.50, 19.50 degrees
Positions (direct):
Hf: 0.000 0.000 0.000
V: 0.242 0.242 0.242
V: 0.758 0.758 0.758
Tc: 0.500 0.500 0.500

***

Name the most stable of them. *2*.

***

*1*
A plane-wave DFT calculation with PBE was carried out for crystalline HfV3Tc at its relaxed geometry.

Properties
Total magnetization in μB per formula unit: 1.59
Symmetry: Pm-3m

Cell lengths 4.529, 4.529, 4.529 Å; angles 90.00, 90.00, 90.00 degrees
Positions (direct):
Hf: 0.000 0.000 0.000
V: 0.000 0.500 0.500
V: 0.500 0.000 0.500
V: 0.500 0.500 0.000
Tc: 0.500 0.500 0.500

***

*2*
A plane-wave DFT calculation with PBE was carried out for crystalline HfV3Tc at its relaxed geometry.

Properties
Total magnetization in μB per formula unit: 1.86
Symmetry: Pm-3m

Cell lengths 4.573, 4.573, 4.573 Å; angles 90.00, 90.00, 90.00 degrees
Positions (direct):
Hf: 0.000 0.000 0.000
V: 0.000 0.000 0.500
V: 0.000 0.500 0.000
V: 0.500 0.000 0.000
Tc: 0.500 0.500 0.500

***

Name the most stable of them. *1*.

***

*1*
A plane-wave DFT calculation with PBE was carried out for crystalline HfTcW at its relaxed geometry.

Properties
Total magnetization in μB per formula unit: 0.00
Symmetry: P3m1

Cell lengths 4.488, 4.488, 2.925 Å; angles 90.00, 90.00, 120.00 degrees
Positions (direct):
Hf: 0.000 0.000 0.000
Tc: 0.333 0.667 0.329
W: 0.667 0.333 0.623

***

*2*
A plane-wave DFT calculation with PBE was carried out for crystalline HfTcW at its relaxed geometry.

Properties
Total magnetization in μB per formula unit: 0.00
Symmetry: I4mm

Cell lengths 5.503, 5.503, 5.503 Å; angles 146.28, 146.28, 48.44 degrees
Positions (direct):
Hf: 0.000 0.000 0.000
Tc: 0.329 0.329 0.000
W: 0.681 0.681 0.000

***

*3*
A plane-wave DFT calculation with PBE was carried out for crystalline HfTcW at its relaxed geometry.

Properties
Total magnetization in μB per formula unit: 0.00
Symmetry: P-62m

Cell lengths 6.492, 6.492, 4.505 Å; angles 90.00, 90.00, 120.00 degrees
Positions (direct):
Hf: 0.000 0.431 0.000
Hf: 0.431 0.000 0.000
Hf: 0.569 0.569 0.000
Tc: 0.000 0.000 0.000
Tc: 0.333 0.667 0.500
Tc: 0.667 0.333 0.500
W: 0.000 0.758 0.500
W: 0.242 0.242 0.500
W: 0.758 0.000 0.500

***

*4*
A plane-wave DFT calculation with PBE was carried out for crystalline HfTcW at its relaxed geometry.

Properties
Total magnetization in μB per formula unit: 0.00
Symmetry: Imma

Cell lengths 5.290, 5.290, 5.290 Å; angles 119.53, 118.37, 91.84 degrees
Positions (direct):
Hf: 0.378 0.128 0.250
Hf: 0.622 0.872 0.750
Tc: 0.000 0.500 0.500
Tc: 0.500 0.500 0.000
W: 0.000 0.000 0.500
W: 0.000 0.500 0.000

***

Name the most stable of them. *4*.